# 1
Entry from the Alexandria database: an optimized crystal structure of Tl2H6I (PBE).

abc: 5.5926 8.8869 8.9772
angles: 154.11 90.00 108.34
With the nearest neighbours (Å) after each atom.
Fractional coordinates of all 9 atoms:
H  0.8633  0.1859  0.0089  1 I 1.97, 1 Tl 2.13
H  0.3226  0.1859  0.0089  1 I 1.97, 1 Tl 2.13
Tl  0.3284  0.6568  0.0110  6 H 2.13-2.35
H  0.2510  0.0000  0.5000  4 Tl 2.35
Tl  0.6716  0.3432  0.9890  6 H 2.13-2.35
H  0.1367  0.8141  0.9911  1 I 1.97, 1 Tl 2.13
H  0.6774  0.8141  0.9911  1 I 1.97, 1 Tl 2.13
H  0.7490  0.0000  0.5000  4 Tl 2.35
I  0.0000  0.0000  0.0000  4 H 1.97

- space-group type = No. 12

***

# 2
Entry from the Alexandria database: an optimized crystal structure of Ba2TcGeO6 (PBE).

abc: 5.7051 5.7051 5.7061
angles: 60.00 60.00 89.99
With the nearest neighbours (Å) after each atom.
Fractional coordinates of all 10 atoms:
Ge  0.5000  0.5000  0.0000  6 O 1.96
Ba  0.7500  0.2500  0.5000  12 O 2.85
Tc  0.0000  0.0000  0.0000  6 O 2.07
O  0.2567  0.7434  0.0000  1 Ge 1.96, 1 Tc 2.07
O  0.7434  0.7433  0.0000  1 Ge 1.96, 1 Tc 2.07
Ba  0.2500  0.7500  0.5000  12 O 2.85
O  0.7434  0.7434  0.5132  1 Ge 1.96, 1 Tc 2.07
O  0.2566  0.2566  0.4868  1 Ge 1.96, 1 Tc 2.07
O  0.2566  0.2567  0.0000  1 Ge 1.96, 1 Tc 2.07
O  0.7433  0.2566  0.0000  1 Ge 1.96, 1 Tc 2.07

- space-group type = No. 225

***

Q: Which electronic total energy values were calculated for the entries above? A: -2.37 -6.87, in eV/atom.